A plane-wave DFT calculation with PBE was carried out for a relaxed CrBiRu crystal.

Structure (CIF):
```
data_CrBiRu
_space_group_name_H-M_alt 'P 1'
_space_group_IT_number 1
_space_group_name_Hall 'P 1'
_cell_length_a 3.012
_cell_length_b 4.384
_cell_length_c 9.790
_cell_angle_alpha 83.07
_cell_angle_beta 89.77
_cell_angle_gamma 69.85
loop_
_atom_site_label
_atom_site_fract_x
_atom_site_fract_y
_atom_site_fract_z
_atom_site_occupancy
Bi1 0.082 0.630 0.593 1
Ru1 0.165 0.475 0.118 1
Cr1 0.898 0.006 0.223 1
Cr2 0.611 0.577 0.321 1
Ru2 0.338 0.119 0.420 1
Bi2 0.868 0.076 0.931 1
```

Energy relative to the elements (eV/f.u.): 0.796
Symmetry: No. 1
Relative energy among the computed polymorphs (eV per atom): 0.0681
N(E_F) (states/eV per cell): 5.5

=====

A plane-wave DFT calculation with PBE was carried out for a relaxed PuUSn crystal.

Structure (CIF):
```
data_PuUSn
_space_group_name_H-M_alt 'P 1'
_space_group_IT_number 1
_space_group_name_Hall 'P 1'
_cell_length_a 3.528
_cell_length_b 3.528
_cell_length_c 5.768
_cell_angle_alpha 107.81
_cell_angle_beta 107.81
_cell_angle_gamma 90.00
loop_
_atom_site_label
_atom_site_fract_x
_atom_site_fract_y
_atom_site_fract_z
_atom_site_occupancy
Pu1 0.703 0.703 0.406 1
U1 0.296 0.296 0.593 1
Sn1 0.001 0.001 0.002 1
```

Energy relative to the elements (eV/f.u.): -0.169
Symmetry: No. 107
Relative energy among the computed polymorphs (eV per atom): 0.0000
N(E_F) (states/eV per cell): 5.8

=====

A plane-wave DFT calculation with PBE was carried out for a relaxed PdSe2Br6 crystal.

Structure (CIF):
```
data_PdSe2Br6
_space_group_name_H-M_alt 'P 1'
_space_group_IT_number 1
_space_group_name_Hall 'P 1'
_cell_length_a 6.984
_cell_length_b 10.199
_cell_length_c 10.199
_cell_angle_alpha 91.67
_cell_angle_beta 80.22
_cell_angle_gamma 80.22
loop_
_atom_site_label
_atom_site_fract_x
_atom_site_fract_y
_atom_site_fract_z
_atom_site_occupancy
Pd1 0.750 0.935 0.065 1
Br1 0.178 0.307 0.438 1
Br2 0.103 0.834 0.967 1
Br3 0.657 0.693 0.058 1
Br4 0.157 0.058 0.693 1
Br5 0.822 0.693 0.562 1
Br6 0.322 0.562 0.693 1
Se1 0.685 0.916 0.538 1
Se2 0.185 0.538 0.916 1
Br7 0.603 0.967 0.834 1
Se3 0.815 0.462 0.084 1
Br8 0.843 0.942 0.307 1
Pd2 0.250 0.065 0.935 1
Br9 0.397 0.033 0.166 1
Br10 0.897 0.166 0.033 1
Se4 0.315 0.084 0.462 1
Br11 0.343 0.307 0.942 1
Br12 0.678 0.438 0.307 1
```

Formation energy without anion corrections (meV per atom): -78
Symmetry: No. 15
Relative energy among the computed polymorphs (eV per atom): 0.1276
N(E_F) (states/eV per cell): 6.7

=====

A plane-wave DFT calculation with PBE was carried out for a relaxed Cs2SiSCl6 crystal.

Structure (CIF):
```
data_Cs2SiSCl6
_space_group_name_H-M_alt 'P 1'
_space_group_IT_number 1
_space_group_name_Hall 'P 1'
_cell_length_a 7.861
_cell_length_b 7.861
_cell_length_c 7.376
_cell_angle_alpha 57.80
_cell_angle_beta 57.80
_cell_angle_gamma 90.00
loop_
_atom_site_label
_atom_site_fract_x
_atom_site_fract_y
_atom_site_fract_z
_atom_site_occupancy
Cs1 0.250 0.750 0.500 1
Si1 0.500 0.500 0.000 1
Cl1 0.250 0.250 0.501 1
Cl2 0.750 0.750 0.499 1
Cl3 0.301 0.699 0.000 1
Cs2 0.750 0.250 0.500 1
S1 0.000 0.000 0.000 1
Cl4 0.301 0.301 0.000 1
Cl5 0.699 0.301 0.000 1
Cl6 0.699 0.699 0.000 1
```

Formation energy without anion corrections (meV per atom): -1080
Symmetry: No. 139
N(E_F) (states/eV per cell): 0.0

=====

A plane-wave DFT calculation with PBE was carried out for a relaxed B3PbI crystal.

Structure (CIF):
```
data_B3PbI
_space_group_name_H-M_alt 'P 1'
_space_group_IT_number 1
_space_group_name_Hall 'P 1'
_cell_length_a 4.839
_cell_length_b 4.839
_cell_length_c 4.839
_cell_angle_alpha 90.00
_cell_angle_beta 90.00
_cell_angle_gamma 90.00
loop_
_atom_site_label
_atom_site_fract_x
_atom_site_fract_y
_atom_site_fract_z
_atom_site_occupancy
Pb1 0.000 0.000 0.000 1
B1 0.000 0.000 0.500 1
B2 0.500 0.000 0.000 1
B3 0.000 0.500 0.000 1
I1 0.500 0.500 0.500 1
```

Formation energy without anion corrections (meV per atom): 2296
Symmetry: No. 221
Relative energy among the computed polymorphs (eV per atom): 0.0000
N(E_F) (states/eV per cell): 2.3

=====

A plane-wave DFT calculation with PBE was carried out for a relaxed TbDy2Sc6 crystal.

Structure (CIF):
```
data_TbDy2Sc6
_space_group_name_H-M_alt 'P 1'
_space_group_IT_number 1
_space_group_name_Hall 'P 1'
_cell_length_a 3.396
_cell_length_b 3.396
_cell_length_c 24.401
_cell_angle_alpha 90.00
_cell_angle_beta 90.00
_cell_angle_gamma 120.00
loop_
_atom_site_label
_atom_site_fract_x
_atom_site_fract_y
_atom_site_fract_z
_atom_site_occupancy
Tb1 0.000 0.000 0.000 1
Sc1 0.333 0.667 0.887 1
Sc2 0.333 0.667 0.113 1
Sc3 0.000 0.000 0.561 1
Dy1 0.333 0.667 0.328 1
Sc4 0.000 0.000 0.784 1
Sc5 0.000 0.000 0.216 1
Dy2 0.333 0.667 0.672 1
Sc6 0.000 0.000 0.439 1
```

Energy relative to the elements (eV/f.u.): 0.720
Symmetry: No. 187
Relative energy among the computed polymorphs (eV per atom): 0.0000
N(E_F) (states/eV per cell): 15.6

=====

A plane-wave DFT calculation with PBE was carried out for a relaxed KAcAgP crystal.

Structure (CIF):
```
data_KAcAgP
_space_group_name_H-M_alt 'P 1'
_space_group_IT_number 1
_space_group_name_Hall 'P 1'
_cell_length_a 5.412
_cell_length_b 5.412
_cell_length_c 5.412
_cell_angle_alpha 60.00
_cell_angle_beta 60.00
_cell_angle_gamma 60.00
loop_
_atom_site_label
_atom_site_fract_x
_atom_site_fract_y
_atom_site_fract_z
_atom_site_occupancy
Ag1 0.250 0.250 0.250 1
Ac1 0.500 0.500 0.500 1
K1 0.000 0.000 0.000 1
P1 0.750 0.750 0.750 1
```

Energy relative to the elements (eV/f.u.): -1.598
Symmetry: No. 216

=====

A plane-wave DFT calculation with PBE was carried out for a relaxed PrSc3Zn4 crystal.

Structure (CIF):
```
data_PrSc3Zn4
_space_group_name_H-M_alt 'P 1'
_space_group_IT_number 1
_space_group_name_Hall 'P 1'
_cell_length_a 4.846
_cell_length_b 6.996
_cell_length_c 9.695
_cell_angle_alpha 90.00
_cell_angle_beta 90.00
_cell_angle_gamma 90.00
loop_
_atom_site_label
_atom_site_fract_x
_atom_site_fract_y
_atom_site_fract_z
_atom_site_occupancy
Sc1 0.499 0.000 0.750 1
Zn1 0.999 0.776 0.750 1
Sc2 0.501 0.500 0.250 1
Zn2 0.999 0.224 0.750 1
Zn3 0.500 0.224 0.500 1
Pr1 0.000 0.500 0.000 1
Sc3 0.499 0.500 0.750 1
Sc4 0.000 0.000 0.500 1
Zn4 0.500 0.776 0.500 1
Zn5 0.001 0.776 0.250 1
Zn6 0.500 0.224 0.000 1
Sc5 0.501 0.000 0.250 1
Pr2 0.000 0.500 0.500 1
Zn7 0.001 0.224 0.250 1
Zn8 0.500 0.776 0.000 1
Sc6 0.000 0.000 0.000 1
```

Energy relative to the elements (eV/f.u.): -2.534
Symmetry: No. 51
N(E_F) (states/eV per cell): 16.1

=====

A plane-wave DFT calculation with PBE was carried out for a relaxed CdIn2Cu crystal.

Structure (CIF):
```
data_CdIn2Cu
_space_group_name_H-M_alt 'P 1'
_space_group_IT_number 1
_space_group_name_Hall 'P 1'
_cell_length_a 4.830
_cell_length_b 4.830
_cell_length_c 6.238
_cell_angle_alpha 76.58
_cell_angle_beta 76.58
_cell_angle_gamma 38.71
loop_
_atom_site_label
_atom_site_fract_x
_atom_site_fract_y
_atom_site_fract_z
_atom_site_occupancy
In1 0.986 0.986 0.030 1
Cd1 0.750 0.750 0.750 1
In2 0.514 0.514 0.470 1
Cu1 0.250 0.250 0.250 1
```

Energy relative to the elements (eV/f.u.): 0.465
Symmetry: No. 12
N(E_F) (states/eV per cell): 1.4

=====

A plane-wave DFT calculation with PBE was carried out for a relaxed TcTeCl2 crystal.

Structure (CIF):
```
data_TcTeCl2
_space_group_name_H-M_alt 'P 1'
_space_group_IT_number 1
_space_group_name_Hall 'P 1'
_cell_length_a 3.144
_cell_length_b 7.186
_cell_length_c 7.185
_cell_angle_alpha 43.77
_cell_angle_beta 90.00
_cell_angle_gamma 90.00
loop_
_atom_site_label
_atom_site_fract_x
_atom_site_fract_y
_atom_site_fract_z
_atom_site_occupancy
Cl1 0.000 0.387 0.387 1
Tc1 0.500 0.250 0.250 1
Cl2 0.000 0.113 0.113 1
Te1 0.500 0.750 0.750 1
```

Formation energy without anion corrections (meV per atom): -271
Symmetry: No. 65
Relative energy among the computed polymorphs (eV per atom): 0.0000
N(E_F) (states/eV per cell): 2.9

=====

no.,DFT total energy (eV/atom)
1,-7.33
2,-9.93
3,-2.54
4,-3.31
5,-2.76
6,-5.68
7,-3.77
8,-3.93
9,-2.51
10,-4.57